DFT (PBE) results for a relaxed ScTlCuI6 crystal.

Lattice parameters (Å, degrees): 7.302 7.320 7.658 93.67 93.78 114.08
Positions (direct):
Sc: 0.000 0.000 0.000
Tl: 0.652 0.322 0.490
Cu: 0.377 0.688 0.955
I: 0.028 0.295 0.262
I: 0.071 0.710 0.755
I: 0.283 0.311 0.809
I: 0.304 0.918 0.207
I: 0.670 0.950 0.749
I: 0.686 0.680 0.162

## Properties
Raw total energy (eV/cell): -28.2
Formation energy (no corrections) (eV/atom): -0.6821

DFT (PBE) results for a relaxed KLaFe2Hg crystal.

Lattice parameters (Å, degrees): 4.966 4.966 5.591 90.00 90.00 90.00
Positions (direct):
K: 0.000 0.000 0.000
La: 0.000 0.000 0.500
Fe: 0.000 0.500 0.000
Fe: 0.500 0.000 0.000
Hg: 0.500 0.500 0.500

## Properties
Raw total energy (eV/cell): -14.6
Calculated formation energy (meV per atom): 1738

DFT (PBE) results for a relaxed Mn2CuPdN crystal.

Lattice parameters (Å, degrees): 3.949 3.949 3.932 90.00 90.00 90.00
Positions (direct):
Mn: 0.000 0.500 0.000
Mn: 0.500 0.000 0.000
Cu: 0.000 0.000 0.500
Pd: 0.500 0.500 0.500
N: 0.000 0.000 0.000

## Properties
Raw total energy (eV/cell): -36.7
Formation energy (no corrections) (eV/atom): -0.1451

DFT (PBE) results for a relaxed PaGeAs2 crystal.

Lattice parameters (Å, degrees): 4.424 4.424 4.031 90.00 90.00 90.00
Positions (direct):
Pa: 0.000 0.000 0.000
Ge: 0.500 0.500 0.000
As: 0.000 0.500 0.500
As: 0.500 0.000 0.500

## Properties
Raw total energy (eV/cell): -25.8
Calculated formation energy (meV per atom): -585
Excess energy over the best structure of this formula in the dataset (meV/atom): 0

DFT (PBE) results for a relaxed TbLuTcAu crystal.

Lattice parameters (Å, degrees): 4.914 4.914 4.914 60.00 60.00 60.00
Positions (direct):
Tb: 0.000 0.000 0.000
Lu: 0.500 0.500 0.500
Tc: 0.750 0.750 0.750
Au: 0.250 0.250 0.250

## Properties
Raw total energy (eV/cell): -24.3
Calculated formation energy (meV per atom): -387

DFT (PBE) results for a relaxed NdCo2C2 crystal.

Lattice parameters (Å, degrees): 5.765 5.765 5.765 146.03 146.03 48.81
Positions (direct):
Nd: 0.000 0.000 0.000
Co: 0.250 0.750 0.500
Co: 0.750 0.250 0.500
C: 0.345 0.345 0.000
C: 0.655 0.655 0.000

## Properties
Raw total energy (eV/cell): -38.0
Calculated formation energy (meV per atom): -121

DFT (PBE) results for a relaxed TaTlZnI2 crystal.

Lattice parameters (Å, degrees): 5.626 5.626 5.194 90.00 90.00 90.00
Positions (direct):
Ta: 0.000 0.000 0.000
Tl: 0.500 0.500 0.000
Zn: 0.500 0.500 0.500
I: 0.000 0.500 0.500
I: 0.500 0.000 0.500

## Properties
Raw total energy (eV/cell): -12.8
Formation energy (no corrections) (eV/atom): 1.1583

DFT (PBE) results for a relaxed CoIr5 crystal.

Lattice parameters (Å, degrees): 4.716 4.716 4.378 90.00 90.00 120.00
Positions (direct):
Co: 0.000 0.000 0.000
Ir: 0.000 0.673 0.500
Ir: 0.327 0.327 0.500
Ir: 0.333 0.667 0.000
Ir: 0.667 0.333 0.000
Ir: 0.673 0.000 0.500

## Properties
Raw total energy (eV/cell): -51.0
Calculated formation energy (meV per atom): 61

DFT (PBE) results for a relaxed Rb2NdU2Se6 crystal.

Lattice parameters (Å, degrees): 7.355 7.355 8.544 98.02 98.02 120.24
Positions (direct):
Rb: 0.165 0.835 0.000
Rb: 0.835 0.165 0.000
Nd: 0.000 0.000 0.500
U: 0.334 0.666 0.500
U: 0.666 0.334 0.500
Se: 0.061 0.406 0.693
Se: 0.280 0.280 0.306
Se: 0.406 0.061 0.693
Se: 0.594 0.939 0.307
Se: 0.720 0.720 0.694
Se: 0.939 0.594 0.307

## Properties
Raw total energy (eV/cell): -65.7
Formation energy (no corrections) (eV/atom): -1.4136

DFT (PBE) results for a relaxed ThPbAu2 crystal.

Lattice parameters (Å, degrees): 3.800 3.800 7.004 90.00 90.00 90.00
Positions (direct):
Th: 0.000 0.000 0.000
Pb: 0.000 0.000 0.500
Au: 0.500 0.500 0.235
Au: 0.500 0.500 0.765

## Properties
Raw total energy (eV/cell): -19.4
Calculated formation energy (meV per atom): -430

DFT (PBE) results for a relaxed HoScAs2 crystal.

Lattice parameters (Å, degrees): 6.902 6.902 6.902 33.65 33.65 33.65
Positions (direct):
Ho: 0.000 0.000 0.000
Sc: 0.500 0.500 0.500
As: 0.245 0.245 0.245
As: 0.755 0.755 0.755

## Properties
Raw total energy (eV/cell): -26.0
Calculated formation energy (meV per atom): -1442
Excess energy over the best structure of this formula in the dataset (meV/atom): 0

DFT (PBE) results for a relaxed AlCrPt crystal.

Lattice parameters (Å, degrees): 4.300 4.300 2.862 90.00 90.00 120.00
Positions (direct):
Al: 0.000 0.000 0.000
Cr: 0.667 0.333 0.500
Pt: 0.333 0.667 0.000

## Properties
Raw total energy (eV/cell): -20.5
Calculated formation energy (meV per atom): -354

Among the records above, which one has the highest raw total energy?
TaTlZnI2

Number 10 is which compound?
ThPbAu2

Among the records above, which one has the lowest raw total energy?
Rb2NdU2Se6